Computed, not measured: a relaxed Mg5In3Hg12 crystal at the PBE level of DFT.

Computed properties:
SG = Ia-3d
Size of the total moment = 0.00 μB per cell
Density of states at the Fermi level = 34.643 states/eV/cell
Calculated density = 7959 kg/m³
DFT formation energy = 1.88 kcal/mol of atoms
Volume = 2398 Å³/cell

a = 14.6039 Å, b = 14.6039 Å, c = 14.6039 Å
α = 109.47°, β = 109.47°, γ = 109.47°
With the nearest neighbours (Å) after each atom.
Element x y z (fractional)
Hg (0.7736, 0.3311, 0.9052)  2 Mg 2.77-2.86, 1 In 2.98
Hg (0.6317, 0.5742, 0.9052)  2 Mg 2.77-2.86, 1 In 2.98
Hg (0.1317, 0.4052, 0.0742)  2 Mg 2.77-2.86, 1 In 2.98
Hg (0.6689, 0.4425, 0.5742)  2 Mg 2.77-2.86, 1 In 2.98
Hg (0.5948, 0.8683, 0.4258)  2 Mg 2.77-2.86, 1 In 2.98
In (0.2500, 0.1250, 0.3750)  8 Hg 2.98-3.22
Hg (0.5948, 0.7264, 0.6689)  2 Mg 2.77-2.86, 1 In 2.98
Hg (0.1689, 0.0742, 0.9425)  2 Mg 2.77-2.86, 1 In 2.98
Hg (0.9258, 0.0948, 0.8683)  2 Mg 2.77-2.86, 1 In 2.98
Hg (0.0742, 0.9052, 0.1317)  2 Mg 2.77-2.86, 1 In 2.98
In (0.8750, 0.7500, 0.1250)  8 Hg 2.98-3.22
Hg (0.4052, 0.1317, 0.5742)  2 Mg 2.77-2.86, 1 In 2.98
Hg (0.4425, 0.6689, 0.0742)  2 Mg 2.77-2.86, 1 In 2.98
Hg (0.1689, 0.0948, 0.7264)  2 Mg 2.77-2.86, 1 In 2.98
Mg (0.5000, 0.5000, 0.0000)  6 Hg 2.86
In (0.6250, 0.3750, 0.7500)  8 Hg 2.98-3.22
Hg (0.0575, 0.6317, 0.7264)  2 Mg 2.77-2.86, 1 In 2.98
Mg (0.8750, 0.2500, 0.6250)  4 Hg 2.77
Hg (0.4258, 0.3683, 0.5948)  2 Mg 2.77-2.86, 1 In 2.98
Hg (0.3311, 0.7736, 0.4052)  2 Mg 2.77-2.86, 1 In 2.98
In (0.7500, 0.3750, 0.1250)  8 Hg 2.98-3.22
Hg (0.4425, 0.7736, 0.8683)  2 Mg 2.77-2.86, 1 In 2.98
Mg (0.7500, 0.6250, 0.3750)  4 Hg 2.77
Hg (0.1317, 0.7264, 0.5575)  2 Mg 2.77-2.86, 1 In 2.98
Mg (0.1250, 0.3750, 0.2500)  4 Hg 2.77
Hg (0.2736, 0.8683, 0.9425)  2 Mg 2.77-2.86, 1 In 2.98
In (0.7500, 0.8750, 0.6250)  8 Hg 2.98-3.22
Hg (0.0948, 0.9258, 0.3683)  2 Mg 2.77-2.86, 1 In 2.98
Hg (0.5575, 0.2264, 0.1317)  2 Mg 2.77-2.86, 1 In 2.98
Mg (0.7500, 0.1250, 0.8750)  4 Hg 2.77
Mg (0.6250, 0.8750, 0.2500)  4 Hg 2.77
Hg (0.6317, 0.0575, 0.2264)  2 Mg 2.77-2.86, 1 In 2.98
Mg (0.0000, 0.0000, 0.0000)  6 Hg 2.86
Hg (0.0575, 0.4258, 0.8311)  2 Mg 2.77-2.86, 1 In 2.98
Hg (0.3683, 0.9425, 0.7736)  2 Mg 2.77-2.86, 1 In 2.98
Mg (0.2500, 0.3750, 0.6250)  4 Hg 2.77
In (0.1250, 0.2500, 0.8750)  8 Hg 2.98-3.22
Hg (0.8683, 0.5948, 0.9258)  2 Mg 2.77-2.86, 1 In 2.98
Mg (0.1250, 0.7500, 0.3750)  4 Hg 2.77
Mg (0.8750, 0.6250, 0.7500)  4 Hg 2.77
In (0.3750, 0.7500, 0.6250)  8 Hg 2.98-3.22
Mg (0.0000, 0.0000, 0.5000)  6 Hg 2.86
Mg (0.5000, 0.0000, 0.5000)  6 Hg 2.86
Hg (0.4052, 0.2736, 0.3311)  2 Mg 2.77-2.86, 1 In 2.98
Mg (0.2500, 0.8750, 0.1250)  4 Hg 2.77
Hg (0.7264, 0.5948, 0.1689)  2 Mg 2.77-2.86, 1 In 2.98
Hg (0.7736, 0.4425, 0.3683)  2 Mg 2.77-2.86, 1 In 2.98
Mg (0.3750, 0.1250, 0.7500)  4 Hg 2.77
In (0.1250, 0.8750, 0.7500)  8 Hg 2.98-3.22
Hg (0.5742, 0.9425, 0.6689)  2 Mg 2.77-2.86, 1 In 2.98
Hg (0.2264, 0.5575, 0.6317)  2 Mg 2.77-2.86, 1 In 2.98
Hg (0.9425, 0.5742, 0.1689)  2 Mg 2.77-2.86, 1 In 2.98
Hg (0.0948, 0.1689, 0.2264)  2 Mg 2.77-2.86, 1 In 2.98
In (0.6250, 0.2500, 0.3750)  8 Hg 2.98-3.22
Hg (0.9052, 0.0742, 0.6317)  2 Mg 2.77-2.86, 1 In 2.98
Hg (0.3683, 0.4258, 0.0948)  2 Mg 2.77-2.86, 1 In 2.98
Mg (0.0000, 0.5000, 0.0000)  6 Hg 2.86
Hg (0.5575, 0.3311, 0.9258)  2 Mg 2.77-2.86, 1 In 2.98
Hg (0.9258, 0.8311, 0.5575)  2 Mg 2.77-2.86, 1 In 2.98
Hg (0.5742, 0.6317, 0.4052)  2 Mg 2.77-2.86, 1 In 2.98
Hg (0.9425, 0.3683, 0.2736)  2 Mg 2.77-2.86, 1 In 2.98
Mg (0.3750, 0.2500, 0.1250)  4 Hg 2.77
Mg (0.6250, 0.7500, 0.8750)  4 Hg 2.77
Hg (0.7264, 0.1317, 0.0575)  2 Mg 2.77-2.86, 1 In 2.98
Hg (0.3311, 0.5575, 0.4258)  2 Mg 2.77-2.86, 1 In 2.98
Hg (0.2264, 0.6689, 0.0948)  2 Mg 2.77-2.86, 1 In 2.98
Hg (0.9052, 0.8311, 0.7736)  2 Mg 2.77-2.86, 1 In 2.98
In (0.8750, 0.1250, 0.2500)  8 Hg 2.98-3.22
Hg (0.8311, 0.9258, 0.0575)  2 Mg 2.77-2.86, 1 In 2.98
Hg (0.2736, 0.4052, 0.8311)  2 Mg 2.77-2.86, 1 In 2.98
Mg (0.5000, 0.5000, 0.5000)  6 Hg 2.86
Mg (0.0000, 0.5000, 0.5000)  6 Hg 2.86
Hg (0.4258, 0.0575, 0.3311)  2 Mg 2.77-2.86, 1 In 2.98
Hg (0.8683, 0.2736, 0.4425)  2 Mg 2.77-2.86, 1 In 2.98
In (0.3750, 0.6250, 0.2500)  8 Hg 2.98-3.22
Hg (0.0742, 0.1689, 0.4425)  2 Mg 2.77-2.86, 1 In 2.98
In (0.2500, 0.6250, 0.8750)  8 Hg 2.98-3.22
Hg (0.6689, 0.2264, 0.5948)  2 Mg 2.77-2.86, 1 In 2.98
Mg (0.5000, 0.0000, 0.0000)  6 Hg 2.86
Hg (0.8311, 0.9052, 0.2736)  2 Mg 2.77-2.86, 1 In 2.98

---

Computed, not measured: a relaxed Mg7In4Hg crystal at the PBE level of DFT.

Computed properties:
SG = C2/m
Size of the total moment = 0.00 μB per cell
Density of states at the Fermi level = 4.639 states/eV/cell
Calculated density = 4478 kg/m³
DFT formation energy = 0.04 kcal/mol of atoms
Volume = 308 Å³/cell

a = 5.3842 Å, b = 8.8099 Å, c = 7.3279 Å
α = 83.00°, β = 68.45°, γ = 72.21°
With the nearest neighbours (Å) after each atom.
Element x y z (fractional)
Mg (0.7835, 0.8676, 0.5654)  4 In 2.98-3.11, 2 Mg 3.07-3.17
Mg (0.2165, 0.1324, 0.4346)  4 In 2.98-3.11, 2 Mg 3.07-3.17
Mg (0.3495, 0.5834, 0.7177)  5 In 2.92-3.13, 1 Mg 3.27
Hg (0.0000, 0.0000, 0.0000)  4 Mg 2.69-2.92
In (0.5732, 0.2174, 0.6362)  8 Mg 2.92-3.13, 1 In 3.15
Mg (0.6505, 0.4166, 0.2823)  5 In 2.92-3.13, 1 Mg 3.27
Mg (0.9312, 0.3178, 0.8197)  1 Hg 2.92, 5 In 2.93-3.19, 2 Mg 3.07-3.27
In (0.7074, 0.6546, 0.9305)  8 Mg 2.93-3.19, 1 In 3.15
Mg (0.0688, 0.6822, 0.1803)  1 Hg 2.92, 5 In 2.93-3.19, 2 Mg 3.07-3.27
Mg (0.5000, 0.0000, 0.0000)  2 Hg 2.69, 2 In 2.94
In (0.2926, 0.3454, 0.0695)  8 Mg 2.93-3.19, 1 In 3.15
In (0.4268, 0.7826, 0.3638)  8 Mg 2.92-3.13, 1 In 3.15

---

Computed, not measured: a relaxed Mg5In4Hg crystal at the PBE level of DFT.

Computed properties:
SG = P4/mmm
Size of the total moment = 0.00 μB per cell
Density of states at the Fermi level = 3.187 states/eV/cell
Calculated density = 5600 kg/m³
DFT formation energy = -2.50 kcal/mol of atoms
Volume = 232 Å³/cell

a = 3.5076 Å, b = 3.5076 Å, c = 18.8339 Å
α = 90.00°, β = 90.00°, γ = 90.00°
With the nearest neighbours (Å) after each atom.
Element x y z (fractional)
In (0.0000, 0.0000, 0.6024)  8 Mg 3.14-3.15, 4 In 3.51
In (0.0000, 0.0000, 0.3976)  8 Mg 3.14-3.15, 4 In 3.51
Mg (0.5000, 0.5000, 0.2945)  8 In 3.12-3.15
Hg (0.0000, 0.0000, 0.0000)  8 Mg 3.02
Mg (0.5000, 0.5000, 0.7055)  8 In 3.12-3.15
In (0.0000, 0.0000, 0.1940)  8 Mg 3.12-3.15
In (0.0000, 0.0000, 0.8060)  8 Mg 3.12-3.15
Mg (0.5000, 0.5000, 0.0911)  4 Hg 3.02, 4 In 3.15
Mg (0.5000, 0.5000, 0.5000)  8 In 3.14, 4 Mg 3.51
Mg (0.5000, 0.5000, 0.9089)  4 Hg 3.02, 4 In 3.15

---

Computed, not measured: a relaxed MgIn2Hg3 crystal at the PBE level of DFT.

Computed properties:
SG = P2_1/m
Size of the total moment = 0.00 μB per cell
Density of states at the Fermi level = 3.429 states/eV/cell
Calculated density = 9477 kg/m³
DFT formation energy = -0.82 kcal/mol of atoms
Volume = 300 Å³/cell
Relative energy among the computed polymorphs = 0.00 eV per formula unit

a = 3.3770 Å, b = 8.4050 Å, c = 10.6016 Å
α = 85.24°, β = 90.00°, γ = 90.00°
With the nearest neighbours (Å) after each atom.
Element x y z (fractional)
In (0.2500, 0.3422, 0.4483)  5 Hg 3.17-3.30, 2 Mg 3.26, 4 In 3.38-3.40
Mg (0.2500, 0.8390, 0.7603)  4 Hg 2.91-2.96, 2 In 3.26
Hg (0.2500, 0.3977, 0.7401)  5 In 3.17-3.30, 5 Hg 3.36-3.52
In (0.7500, 0.1253, 0.9048)  5 Hg 3.16-3.28, 4 In 3.26-3.38, 2 Mg 3.41
Hg (0.2500, 0.9237, 0.3878)  2 Mg 2.96, 3 In 3.16-3.20, 2 Hg 3.27
Hg (0.7500, 0.6023, 0.2599)  5 In 3.17-3.30, 5 Hg 3.36-3.52
Hg (0.2500, 0.3673, 0.0731)  2 Mg 2.91, 2 Hg 3.11
Hg (0.7500, 0.0763, 0.6122)  2 Mg 2.96, 3 In 3.16-3.20, 2 Hg 3.27
In (0.7500, 0.6578, 0.5517)  5 Hg 3.17-3.30, 2 Mg 3.26, 4 In 3.38-3.40
Mg (0.7500, 0.1610, 0.2397)  4 Hg 2.91-2.96, 2 In 3.26
Hg (0.7500, 0.6327, 0.9269)  2 Mg 2.91, 2 Hg 3.11
In (0.2500, 0.8747, 0.0952)  5 Hg 3.16-3.28, 4 In 3.26-3.38, 2 Mg 3.41

---

What did the third record say?
Computed, not measured: a relaxed Mg5In4Hg crystal at the PBE level of DFT.

Computed properties:
SG = P4/mmm
Size of the total moment = 0.00 μB per cell
Density of states at the Fermi level = 3.187 states/eV/cell
Calculated density = 5600 kg/m³
DFT formation energy = -2.50 kcal/mol of atoms
Volume = 232 Å³/cell

a = 3.5076 Å, b = 3.5076 Å, c = 18.8339 Å
α = 90.00°, β = 90.00°, γ = 90.00°
With the nearest neighbours (Å) after each atom.
Element x y z (fractional)
In (0.0000, 0.0000, 0.6024)  8 Mg 3.14-3.15, 4 In 3.51
In (0.0000, 0.0000, 0.3976)  8 Mg 3.14-3.15, 4 In 3.51
Mg (0.5000, 0.5000, 0.2945)  8 In 3.12-3.15
Hg (0.0000, 0.0000, 0.0000)  8 Mg 3.02
Mg (0.5000, 0.5000, 0.7055)  8 In 3.12-3.15
In (0.0000, 0.0000, 0.1940)  8 Mg 3.12-3.15
In (0.0000, 0.0000, 0.8060)  8 Mg 3.12-3.15
Mg (0.5000, 0.5000, 0.0911)  4 Hg 3.02, 4 In 3.15
Mg (0.5000, 0.5000, 0.5000)  8 In 3.14, 4 Mg 3.51
Mg (0.5000, 0.5000, 0.9089)  4 Hg 3.02, 4 In 3.15